## 1
Crystalline Dy2Mg at its relaxed geometry. Source: Alexandria via LeMat-Bulk, functional PBE.

Theoretical density: 6.44 Mg/m³
Symmetry: I4_1/amd

Unit cell a=13.392 b=13.392 c=13.392 alpha=164.11 beta=164.11 gamma=22.55
Sites, in units of the cell vectors:
Dy 0.305 0.555 0.750
Dy 0.445 0.695 0.750
Dy 0.555 0.305 0.250
Dy 0.695 0.445 0.250
Mg 0.125 0.875 0.250
Mg 0.875 0.125 0.750

## 2
Crystalline Dy2Mg at its relaxed geometry. Source: Alexandria via LeMat-Bulk, functional PBE.

Theoretical density: 6.72 Mg/m³
Symmetry: Cmcm

Unit cell a=8.782 b=8.782 c=5.469 alpha=90.00 beta=90.00 gamma=155.83
Sites, in units of the cell vectors:
Dy 0.093 0.907 0.750
Dy 0.226 0.774 0.250
Dy 0.774 0.226 0.750
Dy 0.907 0.093 0.250
Mg 0.435 0.565 0.750
Mg 0.565 0.435 0.250

Q: Which of them is the most stable? A: 2.

## 1
Crystalline Dy2Mg3 at its relaxed geometry. Source: Alexandria via LeMat-Bulk, functional PBE.

Theoretical density: 5.02 Mg/m³
Symmetry: P4/mmm

Unit cell a=3.752 b=3.752 c=18.719 alpha=90.00 beta=90.00 gamma=90.00
Sites, in units of the cell vectors:
Dy 0.000 0.000 0.103
Dy 0.000 0.000 0.303
Dy 0.000 0.000 0.697
Dy 0.000 0.000 0.897
Mg 0.000 0.000 0.500
Mg 0.500 0.500 0.000
Mg 0.500 0.500 0.203
Mg 0.500 0.500 0.410
Mg 0.500 0.500 0.590
Mg 0.500 0.500 0.797

## 2
Crystalline Dy2Mg3 at its relaxed geometry. Source: Alexandria via LeMat-Bulk, functional PBE.

Theoretical density: 4.88 Mg/m³
Symmetry: R-3m

Unit cell a=13.929 b=13.929 c=13.929 alpha=13.88 beta=13.88 gamma=13.88
Sites, in units of the cell vectors:
Dy 0.201 0.201 0.201
Dy 0.799 0.799 0.799
Mg 0.000 0.000 0.000
Mg 0.396 0.396 0.396
Mg 0.604 0.604 0.604

Q: Which of them is the most stable? A: 1.

## 1
Crystalline Dy5Mg at its relaxed geometry. Source: Alexandria via LeMat-Bulk, functional PBE.

Theoretical density: 7.61 Mg/m³
Symmetry: Amm2

Unit cell a=5.598 b=9.308 c=9.308 alpha=22.13 beta=90.00 gamma=90.00
Sites, in units of the cell vectors:
Dy 0.000 0.000 0.000
Dy 0.000 0.330 0.330
Dy 0.000 0.661 0.661
Dy 0.500 0.447 0.447
Dy 0.500 0.778 0.778
Mg 0.500 0.110 0.110

## 2
Crystalline Dy5Mg at its relaxed geometry. Source: Alexandria via LeMat-Bulk, functional PBE.

Theoretical density: 7.69 Mg/m³
Symmetry: P4/mmm

Unit cell a=3.552 b=3.552 c=14.334 alpha=90.00 beta=90.00 gamma=90.00
Sites, in units of the cell vectors:
Dy 0.000 0.000 0.000
Dy 0.000 0.000 0.346
Dy 0.000 0.000 0.654
Dy 0.500 0.500 0.175
Dy 0.500 0.500 0.825
Mg 0.500 0.500 0.500

Q: Which of them is the most stable? A: 2.

## 1
Crystalline DyMg4 at its relaxed geometry. Source: Alexandria via LeMat-Bulk, functional PBE.

Theoretical density: 3.45 Mg/m³
Symmetry: P-1

Unit cell a=3.397 b=5.139 c=7.791 alpha=70.83 beta=77.44 gamma=89.95
Sites, in units of the cell vectors:
Dy 0.000 0.000 0.000
Mg 0.287 0.788 0.424
Mg 0.400 0.399 0.203
Mg 0.600 0.601 0.797
Mg 0.713 0.212 0.576

## 2
Crystalline DyMg4 at its relaxed geometry. Source: Alexandria via LeMat-Bulk, functional PBE.

Theoretical density: 2.10 Mg/m³
Symmetry: Pm-3m

Unit cell a=5.896 b=5.896 c=5.896 alpha=90.00 beta=90.00 gamma=90.00
Sites, in units of the cell vectors:
Dy 0.000 0.000 0.000
Mg 0.000 0.000 0.500
Mg 0.000 0.500 0.000
Mg 0.500 0.000 0.000
Mg 0.500 0.500 0.500

Q: Which of them is the most stable? A: 1.

## 1
Crystalline DyMg6 at its relaxed geometry. Source: Alexandria via LeMat-Bulk, functional PBE.

Theoretical density: 2.25 Mg/m³
Symmetry: Im-3m

Unit cell a=6.665 b=6.665 c=6.665 alpha=109.47 beta=109.47 gamma=109.47
Sites, in units of the cell vectors:
Dy 0.000 0.000 0.000
Mg 0.250 0.500 0.750
Mg 0.250 0.750 0.500
Mg 0.500 0.250 0.750
Mg 0.500 0.750 0.250
Mg 0.750 0.250 0.500
Mg 0.750 0.500 0.250

## 2
Crystalline DyMg6 at its relaxed geometry. Source: Alexandria via LeMat-Bulk, functional PBE.

Theoretical density: 2.99 Mg/m³
Symmetry: Pnma

Unit cell a=9.461 b=5.960 c=12.140 alpha=90.00 beta=90.00 gamma=90.00
Sites, in units of the cell vectors:
Dy 0.246 0.250 0.066
Dy 0.254 0.750 0.566
Dy 0.746 0.250 0.434
Dy 0.754 0.750 0.934
Mg 0.056 0.750 0.085
Mg 0.063 0.011 0.308
Mg 0.063 0.489 0.308
Mg 0.096 0.250 0.520
Mg 0.142 0.750 0.851
Mg 0.192 0.250 0.754
Mg 0.308 0.750 0.254
Mg 0.358 0.250 0.351
Mg 0.404 0.750 0.020
Mg 0.437 0.511 0.808
Mg 0.437 0.989 0.808
Mg 0.444 0.250 0.585
Mg 0.556 0.750 0.415
Mg 0.563 0.011 0.192
Mg 0.563 0.489 0.192
Mg 0.596 0.250 0.980
Mg 0.642 0.750 0.649
Mg 0.692 0.250 0.746
Mg 0.808 0.750 0.246
Mg 0.858 0.250 0.149
Mg 0.904 0.750 0.480
Mg 0.937 0.511 0.692
Mg 0.937 0.989 0.692
Mg 0.944 0.250 0.915

Q: Which of them is the most stable? A: 2.

## 1
Crystalline Dy2MgMn at its relaxed geometry. Source: Alexandria via LeMat-Bulk, functional PBE.

Theoretical density: 6.58 Mg/m³
Symmetry: R-3m

Unit cell a=10.351 b=10.351 c=10.351 alpha=18.93 beta=18.93 gamma=18.93
Sites, in units of the cell vectors:
Dy 0.241 0.241 0.241
Dy 0.759 0.759 0.759
Mg 0.000 0.000 0.000
Mn 0.500 0.500 0.500

## 2
Crystalline Dy2MgMn at its relaxed geometry. Source: Alexandria via LeMat-Bulk, functional PBE.

Theoretical density: 6.77 Mg/m³
Symmetry: P4/mmm

Unit cell a=3.512 b=3.512 c=8.039 alpha=90.00 beta=90.00 gamma=90.00
Sites, in units of the cell vectors:
Dy 0.000 0.000 0.216
Dy 0.000 0.000 0.784
Mg 0.500 0.500 0.500
Mn 0.500 0.500 0.000

Q: Which of them is the most stable? A: 2.

## 1
Crystalline NaDy2Mg at its relaxed geometry. Source: Alexandria via LeMat-Bulk, functional PBE.

Theoretical density: 5.12 Mg/m³
Symmetry: P4/mmm

Unit cell a=3.755 b=3.755 c=8.564 alpha=90.00 beta=90.00 gamma=90.00
Sites, in units of the cell vectors:
Na 0.000 0.000 0.000
Dy 0.500 0.500 0.289
Dy 0.500 0.500 0.711
Mg 0.000 0.000 0.500

## 2
Crystalline NaDy2Mg at its relaxed geometry. Source: Alexandria via LeMat-Bulk, functional PBE.

Theoretical density: 4.93 Mg/m³
Symmetry: R-3m

Unit cell a=12.530 b=12.530 c=12.530 alpha=15.69 beta=15.69 gamma=15.69
Sites, in units of the cell vectors:
Na 0.000 0.000 0.000
Dy 0.095 0.095 0.095
Dy 0.905 0.905 0.905
Mg 0.500 0.500 0.500

Q: Which of them is the most stable? A: 1.

## 1
Crystalline NaDyMg at its relaxed geometry. Source: Alexandria via LeMat-Bulk, functional PBE.

Theoretical density: 3.90 Mg/m³
Symmetry: P3m1

Unit cell a=3.415 b=3.415 c=8.845 alpha=90.00 beta=90.00 gamma=120.00
Sites, in units of the cell vectors:
Na 0.000 0.000 0.000
Dy 0.333 0.667 0.636
Mg 0.667 0.333 0.330

## 2
Crystalline NaDyMg at its relaxed geometry. Source: Alexandria via LeMat-Bulk, functional PBE.

Theoretical density: 3.57 Mg/m³
Symmetry: P4/nmm

Unit cell a=3.979 b=3.979 c=12.318 alpha=90.00 beta=90.00 gamma=90.00
Sites, in units of the cell vectors:
Na 0.250 0.250 0.084
Na 0.750 0.750 0.916
Dy 0.250 0.250 0.719
Dy 0.750 0.750 0.281
Mg 0.250 0.750 0.500
Mg 0.750 0.250 0.500

Q: Which of them is the most stable? A: 1.

## 1
Crystalline Nd6Dy2Mg at its relaxed geometry. Source: Alexandria via LeMat-Bulk, functional PBE.

Theoretical density: 6.78 Mg/m³
Symmetry: C2/c

Unit cell a=11.630 b=11.630 c=6.160 alpha=105.35 beta=105.35 gamma=48.30
Sites, in units of the cell vectors:
Nd 0.004 0.154 0.230
Nd 0.081 0.580 0.081
Nd 0.154 0.004 0.730
Nd 0.346 0.496 0.573
Nd 0.420 0.919 0.419
Nd 0.496 0.346 0.073
Nd 0.504 0.654 0.927
Nd 0.580 0.081 0.581
Nd 0.654 0.504 0.427
Nd 0.846 0.996 0.270
Nd 0.919 0.420 0.919
Nd 0.996 0.846 0.770
Dy 0.170 0.329 0.552
Dy 0.329 0.170 0.052
Dy 0.671 0.830 0.948
Dy 0.830 0.671 0.448
Mg 0.250 0.750 0.250
Mg 0.750 0.250 0.750

## 2
Crystalline Nd6Dy2Mg at its relaxed geometry. Source: Alexandria via LeMat-Bulk, functional PBE.

Theoretical density: 6.74 Mg/m³
Symmetry: P4_2/mnm

Unit cell a=10.780 b=10.780 c=5.147 alpha=90.00 beta=90.00 gamma=90.00
Sites, in units of the cell vectors:
Nd 0.002 0.332 0.000
Nd 0.162 0.838 0.500
Nd 0.168 0.502 0.500
Nd 0.332 0.002 0.000
Nd 0.338 0.338 0.000
Nd 0.498 0.832 0.500
Nd 0.502 0.168 0.500
Nd 0.662 0.662 0.000
Nd 0.668 0.998 0.000
Nd 0.832 0.498 0.500
Nd 0.838 0.162 0.500
Nd 0.998 0.668 0.000
Dy 0.169 0.169 0.500
Dy 0.331 0.669 0.000
Dy 0.669 0.331 0.000
Dy 0.831 0.831 0.500
Mg 0.000 0.000 0.000
Mg 0.500 0.500 0.500

Q: Which of them is the most stable? A: 2.

## 1
Crystalline Nd2DyMg at its relaxed geometry. Source: Alexandria via LeMat-Bulk, functional PBE.

Theoretical density: 6.26 Mg/m³
Symmetry: P4/mmm

Unit cell a=3.728 b=3.728 c=9.069 alpha=90.00 beta=90.00 gamma=90.00
Sites, in units of the cell vectors:
Nd 0.000 0.000 0.230
Nd 0.000 0.000 0.770
Dy 0.500 0.500 0.500
Mg 0.500 0.500 0.000

## 2
Crystalline Nd2DyMg at its relaxed geometry. Source: Alexandria via LeMat-Bulk, functional PBE.

Theoretical density: 6.15 Mg/m³
Symmetry: Amm2

Unit cell a=3.554 b=10.485 c=10.485 alpha=19.17 beta=90.00 gamma=90.00
Sites, in units of the cell vectors:
Nd 0.000 0.000 0.000
Nd 0.000 0.229 0.229
Dy 0.500 0.377 0.377
Mg 0.500 0.616 0.616

## 3
Crystalline Nd2DyMg at its relaxed geometry. Source: Alexandria via LeMat-Bulk, functional PBE.

Theoretical density: 6.31 Mg/m³
Symmetry: Fm-3m

Unit cell a=5.613 b=5.613 c=5.613 alpha=60.00 beta=60.00 gamma=60.00
Sites, in units of the cell vectors:
Nd 0.250 0.250 0.250
Nd 0.750 0.750 0.750
Dy 0.000 0.000 0.000
Mg 0.500 0.500 0.500

## 4
Crystalline Nd2DyMg at its relaxed geometry. Source: Alexandria via LeMat-Bulk, functional PBE.

Theoretical density: 5.92 Mg/m³
Symmetry: R-3m

Unit cell a=12.670 b=12.670 c=12.670 alpha=15.92 beta=15.92 gamma=15.92
Sites, in units of the cell vectors:
Nd 0.089 0.089 0.089
Nd 0.911 0.911 0.911
Dy 0.500 0.500 0.500
Mg 0.000 0.000 0.000

Q: Which of them is the most stable? A: 1.

## 1
Crystalline Nd5Dy2Mg at its relaxed geometry. Source: Alexandria via LeMat-Bulk, functional PBE.

Theoretical density: 6.81 Mg/m³
Symmetry: I4/mmm

Unit cell a=7.156 b=7.156 c=7.156 alpha=119.49 beta=119.49 gamma=90.89
Sites, in units of the cell vectors:
Nd 0.000 0.000 0.000
Nd 0.000 0.000 0.500
Nd 0.000 0.500 0.000
Nd 0.500 0.000 0.000
Nd 0.500 0.500 0.500
Dy 0.000 0.500 0.500
Dy 0.500 0.000 0.500
Mg 0.500 0.500 0.000

## 2
Crystalline Nd5Dy2Mg at its relaxed geometry. Source: Alexandria via LeMat-Bulk, functional PBE.

Theoretical density: 6.73 Mg/m³
Symmetry: Fmm2

Unit cell a=8.535 b=7.280 c=6.808 alpha=74.49 beta=55.28 gamma=50.23
Sites, in units of the cell vectors:
Nd 0.000 0.000 0.000
Nd 0.001 0.480 0.999
Nd 0.409 0.409 0.091
Nd 0.480 0.001 0.520
Nd 0.909 0.909 0.591
Dy 0.415 0.899 0.101
Dy 0.899 0.415 0.585
Mg 0.494 0.494 0.506

Q: Which of them is the most stable? A: 2.